Material: NpNiSbO6
Method: DFT, PBE+U
State: optimized geometry

abc: 5.2423 5.2423 9.2325
angles: 90.00 90.00 120.00
Last column: magnetic moment on the atom in μB.
Atoms (fractional coordinates):
Np (0.6667, 0.3333, 0.2500)  2.14
Np (0.3333, 0.6667, 0.7500)  2.14
Ni (0.3333, 0.6667, 0.2500)  1.76
Ni (0.6667, 0.3333, 0.7500)  1.76
Sb (0.0000, 0.0000, 0.0000)  0.06
Sb (0.0000, 0.0000, 0.5000)  0.06
O (0.6749, 0.6792, 0.1249)  0.00
O (0.0043, 0.3251, 0.1249)  0.00
O (0.3251, 0.0043, 0.6249)  0.00
O (0.9957, 0.6749, 0.8751)  0.00
O (0.3208, 0.3251, 0.3751)  0.00
O (0.0043, 0.6792, 0.3751)  0.00
O (0.6792, 0.0043, 0.8751)  0.00
O (0.6749, 0.9957, 0.3751)  0.00
O (0.9957, 0.3208, 0.6249)  0.00
O (0.3208, 0.9957, 0.1249)  0.00
O (0.6792, 0.6749, 0.6249)  0.00
O (0.3251, 0.3208, 0.8751)  0.00

Results
Uncorrected energy (eV for the cell shown): -132.0
V (Å³/atom): 12.2